First-principles (PBE-GGA) data for a relaxed CoHgW2 crystal, as listed in Alexandria via LeMat-Bulk.

```
data_CoHgW2
_cell_length_a 5.420
_cell_length_b 8.417
_cell_length_c 2.774
_cell_angle_alpha 90.00
_cell_angle_beta 90.00
_cell_angle_gamma 90.00
_symmetry_space_group_name_H-M 'C m m m'
_symmetry_Int_Tables_number 65
_symmetry_space_group_name_Hall '-C 2 2'
loop_
_atom_site_label
_atom_site_fract_x
_atom_site_fract_y
_atom_site_fract_z
Co1 0.000 0.000 0.000
Hg1 0.000 0.500 0.000
W1 0.250 0.250 0.500
```

Values from the calculation:
The total energy comes out at -7.6477 eV/atom.

First-principles (PBE-GGA) data for a relaxed CoHg2W crystal, as listed in Alexandria via LeMat-Bulk.

```
data_CoHg2W
_cell_length_a 4.055
_cell_length_b 4.055
_cell_length_c 4.199
_cell_angle_alpha 90.00
_cell_angle_beta 90.00
_cell_angle_gamma 90.00
_symmetry_space_group_name_H-M 'P 4/m m m'
_symmetry_Int_Tables_number 123
_symmetry_space_group_name_Hall '-P 4 2'
loop_
_atom_site_label
_atom_site_fract_x
_atom_site_fract_y
_atom_site_fract_z
Co1 0.000 0.000 0.000
Hg1 0.000 0.500 0.500
W1 0.500 0.500 0.000
```

Values from the calculation:
The total energy comes out at -4.3083 eV/atom.

First-principles (PBE-GGA) data for a relaxed CoHgW2 crystal, as listed in Alexandria via LeMat-Bulk.

```
data_CoHgW2
_cell_length_a 3.227
_cell_length_b 4.589
_cell_length_c 8.659
_cell_angle_alpha 90.00
_cell_angle_beta 90.00
_cell_angle_gamma 90.00
_symmetry_space_group_name_H-M 'I m m 2'
_symmetry_Int_Tables_number 44
_symmetry_space_group_name_Hall 'I 2 -2'
loop_
_atom_site_label
_atom_site_fract_x
_atom_site_fract_y
_atom_site_fract_z
Co1 0.000 0.000 0.000
Hg1 0.000 0.500 0.750
W1 0.000 0.000 0.530
W2 0.000 0.500 0.270
```

Values from the calculation:
The total energy comes out at -7.6564 eV/atom.

First-principles (PBE-GGA) data for a relaxed CoHgW2 crystal, as listed in Alexandria via LeMat-Bulk.

```
data_CoHgW2
_cell_length_a 4.017
_cell_length_b 4.017
_cell_length_c 7.817
_cell_angle_alpha 90.00
_cell_angle_beta 90.00
_cell_angle_gamma 90.00
_symmetry_space_group_name_H-M 'I -4 m 2'
_symmetry_Int_Tables_number 119
_symmetry_space_group_name_Hall 'I -4 -2'
loop_
_atom_site_label
_atom_site_fract_x
_atom_site_fract_y
_atom_site_fract_z
Co1 0.000 0.000 0.000
Hg1 0.000 0.500 0.750
W1 0.000 0.000 0.500
W2 0.000 0.500 0.250
```

Values from the calculation:
The total energy comes out at -7.6655 eV/atom.

Calculated energy of formation from the pure elements (eV per atom), listed in the same order as above: 0.681; 0.857; 0.672; 0.663